Entry 1:
Density functional theory data (PBE) for an optimized crystal structure of PrY2S2.

```
PrY2S2
1.0
3.912 0.000 0.000
-1.956 3.388 0.000
0.000 0.000 29.078
Pr Y S
3 6 6
Direct
0.000 0.000 0.000 Pr
0.333 0.667 0.667 Pr
0.667 0.333 0.333 Pr
0.000 0.000 0.217 Y
0.000 0.000 0.783 Y
0.333 0.667 0.450 Y
0.333 0.667 0.883 Y
0.667 0.333 0.117 Y
0.667 0.333 0.550 Y
0.000 0.000 0.395 S
0.000 0.000 0.605 S
0.333 0.667 0.062 S
0.333 0.667 0.271 S
0.667 0.333 0.729 S
0.667 0.333 0.938 S
```

The density of states at the Fermi level is 3.44 states/eV/f.u. For the uncorrected formation energy, the calculation gives -1.58 eV per atom. Its space group is R-3m, No. 166.

=====

Entry 2:
Density functional theory data (PBE) for an optimized crystal structure of Tm4TePb2Se.

```
Tm4TePb2Se
1.0
7.459 0.000 0.000
0.000 4.289 0.000
-2.471 0.000 7.055
Tm Te Pb Se
4 1 2 1
Direct
0.245 0.000 0.241 Tm
0.251 0.500 0.758 Tm
0.749 0.500 0.242 Tm
0.755 0.000 0.759 Tm
0.500 0.500 0.500 Te
0.000 0.000 0.500 Pb
0.000 0.500 0.000 Pb
0.500 0.000 0.000 Se
```

The density of states at the Fermi level is 3.00 states/eV/f.u. For the uncorrected formation energy, the calculation gives -0.92 eV per atom. Its space group is P2/m, No. 10.

=====

Entry 3:
Density functional theory data (PBE) for an optimized crystal structure of RbAg2Au.

```
RbAg2Au
1.0
5.386 0.000 0.000
0.000 5.386 0.000
0.000 0.000 19.049
Rb Ag Au
4 8 4
Direct
0.000 0.250 0.375 Rb
0.000 0.750 0.625 Rb
0.500 0.250 0.125 Rb
0.500 0.750 0.875 Rb
0.000 0.000 0.000 Ag
0.000 0.500 0.000 Ag
0.250 0.250 0.750 Ag
0.250 0.750 0.250 Ag
0.500 0.000 0.500 Ag
0.500 0.500 0.500 Ag
0.750 0.250 0.750 Ag
0.750 0.750 0.250 Ag
0.000 0.250 0.875 Au
0.000 0.750 0.125 Au
0.500 0.250 0.625 Au
0.500 0.750 0.375 Au
```

Its energy of formation from the pure elements is 0.01 eV per atom. The density of states at the Fermi level is 0.88 states/eV/f.u. Its space group is I4_1/amd, No. 141. The polymorph energy (0 for the lowest one) is 85.7 meV/atom.

=====

Entry 4:
Density functional theory data (PBE) for an optimized crystal structure of Rb2MnSI6.

```
Rb2MnSI6
1.0
-4.218 4.218 5.708
4.218 -4.218 5.708
4.218 4.218 -5.708
Rb Mn S I
2 1 1 6
Direct
0.250 0.750 0.500 Rb
0.750 0.250 0.500 Rb
0.000 0.000 0.000 Mn
0.500 0.500 0.000 S
0.227 0.227 0.455 I
0.227 0.773 0.000 I
0.267 0.267 0.000 I
0.733 0.733 0.000 I
0.773 0.227 0.000 I
0.773 0.773 0.545 I
```

The density of states at the Fermi level is 1.96 states/eV/f.u. For the uncorrected formation energy, the calculation gives -0.58 eV per atom. Its space group is I4/mmm, No. 139.

=====

Entry 5:
Density functional theory data (PBE) for an optimized crystal structure of AlOsO2.

```
AlOsO2
1.0
5.504 0.000 0.000
0.000 5.504 0.000
0.000 0.000 5.504
Al Os O
4 4 8
Direct
0.000 0.000 0.000 Al
0.000 0.500 0.500 Al
0.500 0.000 0.500 Al
0.500 0.500 0.000 Al
0.000 0.000 0.500 Os
0.000 0.500 0.000 Os
0.500 0.000 0.000 Os
0.500 0.500 0.500 Os
0.250 0.250 0.250 O
0.250 0.250 0.750 O
0.250 0.750 0.250 O
0.250 0.750 0.750 O
0.750 0.250 0.250 O
0.750 0.250 0.750 O
0.750 0.750 0.250 O
0.750 0.750 0.750 O
```

The density of states at the Fermi level is 1.62 states/eV/f.u. For the uncorrected formation energy, the calculation gives -0.05 eV per atom. Its space group is Fm-3m, No. 225. The polymorph energy (0 for the lowest one) is 1702.6 meV/atom.

=====

Entry 6:
Density functional theory data (PBE) for an optimized crystal structure of LaZrRu.

```
LaZrRu
1.0
6.720 0.000 0.000
0.000 6.720 0.000
0.000 0.000 6.720
La Zr Ru
4 4 4
Direct
0.000 0.000 0.000 La
0.000 0.500 0.500 La
0.500 0.000 0.500 La
0.500 0.500 0.000 La
0.000 0.000 0.500 Zr
0.000 0.500 0.000 Zr
0.500 0.000 0.000 Zr
0.500 0.500 0.500 Zr
0.250 0.250 0.750 Ru
0.250 0.750 0.250 Ru
0.750 0.250 0.250 Ru
0.750 0.750 0.750 Ru
```

Its energy of formation from the pure elements is -0.05 eV per atom. The density of states at the Fermi level is 2.13 states/eV/f.u. Its space group is F-43m, No. 216. The polymorph energy (0 for the lowest one) is 108.7 meV/atom.

=====

Entry 7:
Density functional theory data (PBE) for an optimized crystal structure of KSrAgS2.

```
KSrAgS2
1.0
4.093 -7.565 0.000
4.093 7.565 0.000
0.000 0.000 5.390
K Sr Ag S
2 2 2 4
Direct
0.250 0.750 0.799 K
0.750 0.250 0.201 K
0.250 0.250 0.500 Sr
0.750 0.750 0.500 Sr
0.000 0.000 0.000 Ag
0.500 0.500 0.000 Ag
0.118 0.882 0.286 S
0.382 0.618 0.286 S
0.618 0.382 0.714 S
0.882 0.118 0.714 S
```

The density of states at the Fermi level is 0.00 states/eV/f.u. For the uncorrected formation energy, the calculation gives -1.11 eV per atom. Its space group is Cmme, No. 67.

=====

Entry 8:
Density functional theory data (PBE) for an optimized crystal structure of CsTmZnBr6.

```
CsTmZnBr6
1.0
7.075 0.000 0.000
-3.538 6.127 0.000
0.000 0.000 8.221
Cs Tm Zn Br
1 1 1 6
Direct
0.000 0.000 0.000 Cs
0.333 0.667 0.500 Tm
0.667 0.333 0.500 Zn
0.381 0.012 0.691 Br
0.381 0.369 0.309 Br
0.631 0.012 0.309 Br
0.631 0.619 0.691 Br
0.988 0.369 0.691 Br
0.988 0.619 0.309 Br
```

The density of states at the Fermi level is 0.00 states/eV/f.u. For the uncorrected formation energy, the calculation gives -1.51 eV per atom. Its space group is P312, No. 149.

=====

Magnetic moment, respectively: 2.72, 0.00, 0.00, 3.00, 0.00, 0.00, 0.00, 0.00 μB/cell.